No. 1
# CdTcHg2 | Alexandria | PBE | relaxed
# ΔH_f (0 K), meV per atom: 478.2
# Electronic total energy, eV per atom: -2.49
data_CdTcHg2
_chemical_formula_sum 'Cd3 Tc3 Hg6'
_symmetry_space_group_name_H-M 'R -3 m'
_symmetry_Int_Tables_number 166
_symmetry_space_group_name_Hall '-R 3 2"'
_cell_length_a 3.0233
_cell_length_b 3.0233
_cell_length_c 30.4719
_cell_angle_alpha 90.00
_cell_angle_beta 90.00
_cell_angle_gamma 120.00
loop_
_atom_site_label
_atom_site_type_symbol
_atom_site_fract_x
_atom_site_fract_y
_atom_site_fract_z
Cd1 Cd 0.0000 0.0000 0.0000
Tc1 Tc 0.0000 0.0000 0.5000
Hg1 Hg 0.0000 0.0000 0.2425

***

No. 2
# CdTcHg2 | Alexandria | PBE | relaxed
# ΔH_f (0 K), meV per atom: 485.4
# Electronic total energy, eV per atom: -2.49
data_CdTcHg2
_chemical_formula_sum 'Cd2 Tc2 Hg4'
_symmetry_space_group_name_H-M 'C m m 2'
_symmetry_Int_Tables_number 35
_cell_length_a 3.097
_cell_length_b 5.142
_cell_length_c 10.177
_cell_angle_alpha 90.00
_cell_angle_beta 90.00
_cell_angle_gamma 90.00
loop_
_symmetry_equiv_pos_as_xyz
'x,y,z'
'-x,-y,z'
'-x,y,z'
'x,-y,z'
'x+1/2,y+1/2,z'
'-x+1/2,-y+1/2,z'
'-x+1/2,y+1/2,z'
'x+1/2,-y+1/2,z'
loop_
_atom_site_label
_atom_site_type_symbol
_atom_site_fract_x
_atom_site_fract_y
_atom_site_fract_z
Cd1 Cd 0.000 0.000 0.000
Tc1 Tc 0.000 0.500 0.770
Hg1 Hg 0.000 0.000 0.538
Hg2 Hg 0.000 0.500 0.266

***

No. 3
# CdTc3Hg | Alexandria | PBE | relaxed
# ΔH_f (0 K), meV per atom: 2338.2
# E above lowest polymorph, eV per atom: 0.000
# Electronic total energy, eV per atom: -4.12
data_CdTc3Hg
_chemical_formula_sum 'Cd1 Tc3 Hg1'
_symmetry_space_group_name_H-M 'P m -3 m'
_symmetry_Int_Tables_number 221
_symmetry_space_group_name_Hall '-P 4 2 3'
_cell_length_a 5.078
_cell_length_b 5.078
_cell_length_c 5.078
_cell_angle_alpha 90.00
_cell_angle_beta 90.00
_cell_angle_gamma 90.00
loop_
_atom_site_label
_atom_site_type_symbol
_atom_site_fract_x
_atom_site_fract_y
_atom_site_fract_z
Cd1 Cd 0.000 0.000 0.000
Tc1 Tc 0.000 0.500 0.500
Hg1 Hg 0.500 0.500 0.500

***

No. 4
# Cd4TcHg | Alexandria | PBE | relaxed
# ΔH_f (0 K), meV per atom: 569.4
# Electronic total energy, eV per atom: -1.82
data_Cd4TcHg
_chemical_formula_sum 'Cd16 Tc4 Hg4'
_symmetry_space_group_name_H-M 'F -4 3 m'
_symmetry_Int_Tables_number 216
_symmetry_space_group_name_Hall 'F -4 2 3'
_cell_length_a 8.006
_cell_length_b 8.006
_cell_length_c 8.006
_cell_angle_alpha 90.00
_cell_angle_beta 90.00
_cell_angle_gamma 90.00
loop_
_atom_site_label
_atom_site_type_symbol
_atom_site_fract_x
_atom_site_fract_y
_atom_site_fract_z
Cd1 Cd 0.124 0.124 0.376
Tc1 Tc 0.250 0.250 0.750
Hg1 Hg 0.000 0.000 0.000

***

No. 5
# CdTcHg2 | Alexandria | PBE | relaxed
# ΔH_f (0 K), meV per atom: 515.5
# Electronic total energy, eV per atom: -2.46
data_CdTcHg2
_chemical_formula_sum 'Cd1 Tc1 Hg2'
_symmetry_space_group_name_H-M 'P 1 m 1'
_symmetry_Int_Tables_number 6
_cell_length_a 3.117
_cell_length_b 4.204
_cell_length_c 6.085
_cell_angle_alpha 90.00
_cell_angle_beta 91.07
_cell_angle_gamma 90.00
loop_
_symmetry_equiv_pos_as_xyz
'x,y,z'
'x,-y,z'
loop_
_atom_site_label
_atom_site_type_symbol
_atom_site_fract_x
_atom_site_fract_y
_atom_site_fract_z
Cd1 Cd 0.000 0.000 0.000
Tc1 Tc 0.495 0.500 0.765
Hg1 Hg 0.499 0.500 0.260
Hg2 Hg 0.993 0.000 0.538

***

No. 6
# CdTc2HgTe | Alexandria | PBE | relaxed
# Formation energy from raw total energies, eV per atom: 1.66
# E above lowest polymorph, eV per atom: 0.257
# Electronic total energy, eV per atom: -3.36
data_CdTc2HgTe
_chemical_formula_sum 'Cd1 Tc2 Hg1 Te1'
_symmetry_space_group_name_H-M 'P 4/m m m'
_symmetry_Int_Tables_number 123
_symmetry_space_group_name_Hall '-P 4 2'
_cell_length_a 5.226
_cell_length_b 5.226
_cell_length_c 5.141
_cell_angle_alpha 90.00
_cell_angle_beta 90.00
_cell_angle_gamma 90.00
loop_
_atom_site_label
_atom_site_type_symbol
_atom_site_fract_x
_atom_site_fract_y
_atom_site_fract_z
Cd1 Cd 0.000 0.000 0.000
Tc1 Tc 0.000 0.500 0.000
Hg1 Hg 0.000 0.000 0.500
Te1 Te 0.500 0.500 0.500

***

No. 7
# CdTc2HgTe | Alexandria | PBE | relaxed
# Formation energy from raw total energies, eV per atom: 1.40
# E above lowest polymorph, eV per atom: 0.000
# Electronic total energy, eV per atom: -3.61
data_CdTc2HgTe
_chemical_formula_sum 'Cd1 Tc2 Hg1 Te1'
_symmetry_space_group_name_H-M 'P 4/m m m'
_symmetry_Int_Tables_number 123
_symmetry_space_group_name_Hall '-P 4 2'
_cell_length_a 4.947
_cell_length_b 4.947
_cell_length_c 5.525
_cell_angle_alpha 90.00
_cell_angle_beta 90.00
_cell_angle_gamma 90.00
loop_
_atom_site_label
_atom_site_type_symbol
_atom_site_fract_x
_atom_site_fract_y
_atom_site_fract_z
Cd1 Cd 0.000 0.000 0.000
Tc1 Tc 0.000 0.500 0.500
Hg1 Hg 0.500 0.500 0.000
Te1 Te 0.500 0.500 0.500

***

No. 8
# Cd2HgTe3 | Alexandria | PBE | relaxed
# Formation energy from raw total energies, eV per atom: -0.36
# Electronic total energy, eV per atom: -2.29
data_Cd2HgTe3
_chemical_formula_sum 'Cd8 Hg4 Te12'
_symmetry_space_group_name_H-M 'C 1 c 1'
_symmetry_Int_Tables_number 9
_cell_length_a 8.111
_cell_length_b 14.048
_cell_length_c 8.115
_cell_angle_alpha 90.00
_cell_angle_beta 109.49
_cell_angle_gamma 90.00
loop_
_symmetry_equiv_pos_as_xyz
'x,y,z'
'x,-y,z+1/2'
'x+1/2,y+1/2,z'
'x+1/2,-y+1/2,z+1/2'
loop_
_atom_site_label
_atom_site_type_symbol
_atom_site_fract_x
_atom_site_fract_y
_atom_site_fract_z
Cd1 Cd 0.000 0.083 0.000
Cd2 Cd 0.499 0.250 0.000
Hg1 Hg 0.000 0.416 0.000
Te1 Te 0.124 0.084 0.374
Te2 Te 0.125 0.249 0.874
Te3 Te 0.125 0.416 0.376

***

No. 9
# CdHg2Te2 | Alexandria | PBE | relaxed
# Formation energy from raw total energies, eV per atom: 0.09
# E above lowest polymorph, eV per atom: 0.106
# Electronic total energy, eV per atom: -1.47
data_CdHg2Te2
_chemical_formula_sum 'Cd2 Hg4 Te4'
_symmetry_space_group_name_H-M 'I 4/m m m'
_symmetry_Int_Tables_number 139
_symmetry_space_group_name_Hall '-I 4 2'
_cell_length_a 4.678
_cell_length_b 4.678
_cell_length_c 15.067
_cell_angle_alpha 90.00
_cell_angle_beta 90.00
_cell_angle_gamma 90.00
loop_
_atom_site_label
_atom_site_type_symbol
_atom_site_fract_x
_atom_site_fract_y
_atom_site_fract_z
Cd1 Cd 0.000 0.000 0.000
Hg1 Hg 0.000 0.500 0.250
Te1 Te 0.000 0.000 0.373

***

No. 10
# CdHg3Te | Alexandria | PBE | relaxed
# Formation energy from raw total energies, eV per atom: 0.23
# E above lowest polymorph, eV per atom: 0.000
# Electronic total energy, eV per atom: -0.77
data_CdHg3Te
_chemical_formula_sum 'Cd1 Hg3 Te1'
_symmetry_space_group_name_H-M 'P m -3 m'
_symmetry_Int_Tables_number 221
_symmetry_space_group_name_Hall '-P 4 2 3'
_cell_length_a 5.936
_cell_length_b 5.936
_cell_length_c 5.936
_cell_angle_alpha 90.00
_cell_angle_beta 90.00
_cell_angle_gamma 90.00
loop_
_atom_site_label
_atom_site_type_symbol
_atom_site_fract_x
_atom_site_fract_y
_atom_site_fract_z
Cd1 Cd 0.000 0.000 0.000
Hg1 Hg 0.000 0.500 0.500
Te1 Te 0.500 0.500 0.500

***

No. 11
# Cd12Hg5Te3 | Alexandria | PBE | relaxed
# Formation energy from raw total energies, eV per atom: 0.07
# Electronic total energy, eV per atom: -1.02
data_Cd12Hg5Te3
_chemical_formula_sum 'Cd96 Hg40 Te24'
_symmetry_space_group_name_H-M 'I a -3 d'
_symmetry_Int_Tables_number 230
_symmetry_space_group_name_Hall '-I 4bd 2c 3'
_cell_length_a 17.321
_cell_length_b 17.321
_cell_length_c 17.321
_cell_angle_alpha 90.00
_cell_angle_beta 90.00
_cell_angle_gamma 90.00
loop_
_atom_site_label
_atom_site_type_symbol
_atom_site_fract_x
_atom_site_fract_y
_atom_site_fract_z
Cd1 Cd 0.019 0.075 0.648
Hg1 Hg 0.000 0.000 0.000
Hg2 Hg 0.000 0.250 0.375
Te1 Te 0.000 0.250 0.125

***

No. 12
# Cd4Hg2Te | Alexandria | PBE | relaxed
# Formation energy from raw total energies, eV per atom: 0.20
# Electronic total energy, eV per atom: -0.86
data_Cd4Hg2Te
_chemical_formula_sum 'Cd8 Hg4 Te2'
_symmetry_space_group_name_H-M 'I 4/m m m'
_symmetry_Int_Tables_number 139
_symmetry_space_group_name_Hall '-I 4 2'
_cell_length_a 5.698
_cell_length_b 5.698
_cell_length_c 15.918
_cell_angle_alpha 90.00
_cell_angle_beta 90.00
_cell_angle_gamma 90.00
loop_
_atom_site_label
_atom_site_type_symbol
_atom_site_fract_x
_atom_site_fract_y
_atom_site_fract_z
Cd1 Cd 0.000 0.000 0.208
Cd2 Cd 0.000 0.500 0.000
Hg1 Hg 0.000 0.000 0.394
Te1 Te 0.000 0.000 0.000

***

Which value of electronic total energy does entry 7 give?
-3.61 eV per atom

***

electronic total energy of number 3 (CdTc3Hg)?
-4.12 eV per atom

***

The lowest electronic total energy belongs to which entry?
CdTc3Hg

***

Copy entry 6 word for word.
# CdTc2HgTe | Alexandria | PBE | relaxed
# Formation energy from raw total energies, eV per atom: 1.66
# E above lowest polymorph, eV per atom: 0.257
# Electronic total energy, eV per atom: -3.36
data_CdTc2HgTe
_chemical_formula_sum 'Cd1 Tc2 Hg1 Te1'
_symmetry_space_group_name_H-M 'P 4/m m m'
_symmetry_Int_Tables_number 123
_symmetry_space_group_name_Hall '-P 4 2'
_cell_length_a 5.226
_cell_length_b 5.226
_cell_length_c 5.141
_cell_angle_alpha 90.00
_cell_angle_beta 90.00
_cell_angle_gamma 90.00
loop_
_atom_site_label
_atom_site_type_symbol
_atom_site_fract_x
_atom_site_fract_y
_atom_site_fract_z
Cd1 Cd 0.000 0.000 0.000
Tc1 Tc 0.000 0.500 0.000
Hg1 Hg 0.000 0.000 0.500
Te1 Te 0.500 0.500 0.500